CsIn2Si2: optimized geometry, PBE.

Energy above the most stable polymorph in this dataset: 74 meV/atom
Theoretical density: 4.984 g/cm³
Electronic total energy: -3.2665 eV per atom
Spin magnetization: 0.00 μB per formula unit

Structure (CIF):
```
data_CsIn2Si2
_cell_length_a 4.8866
_cell_length_b 4.8866
_cell_length_c 11.6840
_cell_angle_alpha 90.00
_cell_angle_beta 90.00
_cell_angle_gamma 90.00
_space_group_name_H-M_alt 'I 4/m m m'
_space_group_IT_number 139
_space_group_name_Hall '-I 4 2'
loop_
_atom_site_label
_atom_site_fract_x
_atom_site_fract_y
_atom_site_fract_z
Cs1 0.0000 0.0000 0.0000
In1 0.0000 0.0000 0.3696
Si1 0.0000 0.5000 0.2500
```


HoThAl2Ga2: optimized geometry, PBE.

Theoretical density: 7.424 g/cm³
Electronic total energy: -4.8074 eV per atom
ΔE_f: -53 kJ/mol of atoms
Spin magnetization: 0.00 μB per formula unit

Structure (CIF):
```
data_HoThAl2Ga2
_cell_length_a 4.2872
_cell_length_b 4.2872
_cell_length_c 8.2960
_cell_angle_alpha 90.00
_cell_angle_beta 90.00
_cell_angle_gamma 120.00
_space_group_name_H-M_alt 'P -3 m 1'
_space_group_IT_number 164
_space_group_name_Hall '-P 3 2"'
loop_
_atom_site_label
_atom_site_fract_x
_atom_site_fract_y
_atom_site_fract_z
Ho1 0.0000 0.0000 0.0000
Th1 0.0000 0.0000 0.5000
Al1 0.3333 0.6667 0.2438
Ga1 0.3333 0.6667 0.7624
```


TcNiH: optimized geometry, PBE.

Energy above the most stable polymorph in this dataset: 0 meV/atom
Theoretical density: 9.354 g/cm³
Electronic total energy: -6.4885 eV per atom
Spin magnetization: 0.00 μB per formula unit

Structure (CIF):
```
data_TcNiH
_cell_length_a 4.7084
_cell_length_b 2.7247
_cell_length_c 8.8706
_cell_angle_alpha 90.00
_cell_angle_beta 100.28
_cell_angle_gamma 90.00
_space_group_name_H-M_alt 'C 1 2/m 1'
_space_group_IT_number 12
loop_
_space_group_symop_operation_xyz
'x,y,z'
'-x,-y,-z'
'-x,y,-z'
'x,-y,z'
'x+1/2,y+1/2,z'
'-x+1/2,-y+1/2,-z'
'-x+1/2,y+1/2,-z'
'x+1/2,-y+1/2,z'
loop_
_atom_site_label
_atom_site_fract_x
_atom_site_fract_y
_atom_site_fract_z
Tc1 0.2069 0.0000 0.1212
Ni1 0.1295 0.5000 0.3834
H1 0.0704 0.0000 0.7126
```